The following is a DFT calculation (PBE) of an optimized crystal structure of Ba3Al4.

Output
- raw total energy (eV for the cell shown) = -41.02
- energy of formation from the pure elements (eV/atom) = 0.033
- calculated volume (Å³/atom) = 32.184

Unit cell a=3.725 b=3.725 c=32.469 alpha=90.00 beta=90.00 gamma=90.00
Space group I4/mmm (No. 139)
Asymmetric unit:
1 Ba 0.000 0.000 0.000 [2 per cell]
2 Ba 0.000 0.000 0.311 [4 per cell]
3 Al 0.000 0.000 0.114 [4 per cell]
4 Al 0.000 0.000 0.422 [4 per cell]

***

The following is a DFT calculation (PBE) of an optimized crystal structure of Ba5Al4.

Output
- raw total energy (eV for the cell shown) = -46.89
- polymorph energy (0 for the lowest one) (eV/atom) = 0.052
- energy of formation from the pure elements (eV/atom) = 0.127
- calculated volume (Å³/atom) = 34.847

Unit cell a=10.782 b=10.782 c=5.395 alpha=90.00 beta=90.00 gamma=90.00
Space group I4/mmm (No. 139)
Asymmetric unit:
1 Ba 0.000 0.000 0.000 [2 per cell]
2 Ba 0.176 0.176 0.500 [8 per cell]
3 Al 0.000 0.374 0.000 [8 per cell]

***

The following is a DFT calculation (PBE) of an optimized crystal structure of BaAl.

Output
- raw total energy (eV for the cell shown) = -19.67
- energy of formation from the pure elements (eV/atom) = 0.374
- calculated volume (Å³/atom) = 44.150

Unit cell a=7.069 b=7.069 c=7.069 alpha=90.00 beta=90.00 gamma=90.00
Space group Fm-3m (No. 225)
Asymmetric unit:
1 Ba 0.000 0.000 0.000 [4 per cell]
2 Al 0.000 0.000 0.500 [4 per cell]

***

The following is a DFT calculation (PBE) of an optimized crystal structure of BaBe2Al.

Output
- raw total energy (eV for the cell shown) = -41.00
- energy of formation from the pure elements (eV/atom) = 0.717
- calculated volume (Å³/atom) = 20.481

Unit cell a=6.894 b=6.894 c=6.894 alpha=90.00 beta=90.00 gamma=90.00
Space group F-43m (No. 216)
Asymmetric unit:
1 Ba 0.000 0.000 0.000 [4 per cell]
2 Be 0.000 0.000 0.500 [4 per cell]
3 Be 0.250 0.250 0.250 [4 per cell]
4 Al 0.250 0.250 0.750 [4 per cell]